! PmSm5Y, optimized geometry, DFT PBE; values from VASP
&SYSTEM
  ibrav = 0, nat = 14, ntyp = 3
/
ATOMIC_SPECIES
Pm 145.00 Pm.upf
Sm 150.36 Sm.upf
Y 88.91 Y.upf
ATOMIC_POSITIONS crystal
Pm 0.029 0.971 0.750
Pm 0.971 0.029 0.250
Sm 0.154 0.409 0.753
Sm 0.184 0.658 0.500
Sm 0.342 0.816 0.000
Sm 0.409 0.154 0.253
Sm 0.411 0.589 0.250
Sm 0.589 0.411 0.750
Sm 0.591 0.846 0.747
Sm 0.658 0.184 0.000
Sm 0.816 0.342 0.500
Sm 0.846 0.591 0.247
Y 0.000 0.500 0.000
Y 0.500 0.000 0.500
CELL_PARAMETERS angstrom
5.974 -3.432 0.000
5.974 3.432 0.000
-4.510 0.000 11.575
! magnetization = 0.000 μB/cell
! density of states at the Fermi level = 16.7 states/eV per cell
! formation enthalpy at 0 K = 164.5 meV per atom
! E_tot = -67.318 eV/cell

---

! Pm4Sm11Y9, optimized geometry, DFT PBE; values from VASP
&SYSTEM
  ibrav = 0, nat = 24, ntyp = 3
/
ATOMIC_SPECIES
Pm 145.00 Pm.upf
Sm 150.36 Sm.upf
Y 88.91 Y.upf
ATOMIC_POSITIONS crystal
Pm 0.050 0.221 0.000
Pm 0.221 0.050 0.000
Pm 0.779 0.950 0.000
Pm 0.950 0.779 0.000
Sm 0.085 0.421 0.500
Sm 0.158 0.842 0.500
Sm 0.258 0.258 0.500
Sm 0.331 0.669 0.500
Sm 0.421 0.085 0.500
Sm 0.500 0.500 0.500
Sm 0.579 0.915 0.500
Sm 0.669 0.331 0.500
Sm 0.742 0.742 0.500
Sm 0.842 0.158 0.500
Sm 0.915 0.579 0.500
Y 0.000 0.000 0.000
Y 0.124 0.629 0.000
Y 0.294 0.464 0.000
Y 0.371 0.876 0.000
Y 0.464 0.294 0.000
Y 0.536 0.706 0.000
Y 0.629 0.124 0.000
Y 0.706 0.536 0.000
Y 0.876 0.371 0.000
CELL_PARAMETERS angstrom
10.408 -10.747 0.000
10.408 10.747 0.000
0.000 0.000 3.585
! magnetization = 0.000 μB/cell
! density of states at the Fermi level = 36.8 states/eV per cell
! formation enthalpy at 0 K = 50.2 meV per atom
! E_tot = -127.884 eV/cell

---

! Pm2Sm9Y3, optimized geometry, DFT PBE; values from VASP
&SYSTEM
  ibrav = 0, nat = 14, ntyp = 3
/
ATOMIC_SPECIES
Pm 145.00 Pm.upf
Sm 150.36 Sm.upf
Y 88.91 Y.upf
ATOMIC_POSITIONS crystal
Pm 0.000 0.000 0.000
Pm 0.035 0.035 0.358
Sm 0.207 0.207 0.207
Sm 0.238 0.238 0.573
Sm 0.413 0.413 0.335
Sm 0.443 0.443 0.705
Sm 0.584 0.584 0.202
Sm 0.616 0.616 0.555
Sm 0.650 0.650 0.913
Sm 0.821 0.821 0.768
Sm 0.830 0.830 0.142
Y 0.067 0.067 0.710
Y 0.317 0.317 0.949
Y 0.828 0.828 0.457
CELL_PARAMETERS angstrom
8.239 -2.869 0.000
8.239 2.869 0.000
-3.104 0.000 10.034
! magnetization = 0.000 μB/cell
! density of states at the Fermi level = 21.8 states/eV per cell
! formation enthalpy at 0 K = 94.6 meV per atom
! E_tot = -70.042 eV/cell

---

! PmSmY2, optimized geometry, DFT PBE; values from VASP
&SYSTEM
  ibrav = 0, nat = 16, ntyp = 3
/
ATOMIC_SPECIES
Pm 145.00 Pm.upf
Sm 150.36 Sm.upf
Y 88.91 Y.upf
ATOMIC_POSITIONS crystal
Pm 0.000 0.000 0.000
Pm 0.000 0.500 0.500
Pm 0.500 0.000 0.500
Pm 0.500 0.500 0.000
Sm 0.000 0.000 0.500
Sm 0.000 0.500 0.000
Sm 0.500 0.000 0.000
Sm 0.500 0.500 0.500
Y 0.250 0.250 0.250
Y 0.250 0.250 0.750
Y 0.250 0.750 0.250
Y 0.250 0.750 0.750
Y 0.750 0.250 0.250
Y 0.750 0.250 0.750
Y 0.750 0.750 0.250
Y 0.750 0.750 0.750
CELL_PARAMETERS angstrom
8.123 0.000 0.000
0.000 8.123 0.000
0.000 0.000 8.123
! magnetization = 0.001 μB/cell
! density of states at the Fermi level = 33.6 states/eV per cell
! formation enthalpy at 0 K = 113.9 meV per atom
! E_tot = -87.769 eV/cell

---

! Pm5Sm4Y, optimized geometry, DFT PBE; values from VASP
&SYSTEM
  ibrav = 0, nat = 10, ntyp = 3
/
ATOMIC_SPECIES
Pm 145.00 Pm.upf
Sm 150.36 Sm.upf
Y 88.91 Y.upf
ATOMIC_POSITIONS crystal
Pm 0.000 0.000 0.000
Pm 0.078 0.078 0.621
Pm 0.078 0.456 0.000
Pm 0.456 0.078 0.000
Pm 0.456 0.456 0.379
Sm 0.074 0.749 0.325
Sm 0.424 0.749 0.675
Sm 0.749 0.074 0.325
Sm 0.749 0.424 0.675
Y 0.534 0.534 0.000
CELL_PARAMETERS angstrom
-5.307 5.307 3.083
5.307 -5.307 3.083
5.307 5.307 -3.083
! magnetization = 0.000 μB/cell
! density of states at the Fermi level = 15.0 states/eV per cell
! formation enthalpy at 0 K = 244.1 meV per atom
! E_tot = -46.653 eV/cell

---

! PmSm6Y8, optimized geometry, DFT PBE; values from VASP
&SYSTEM
  ibrav = 0, nat = 15, ntyp = 3
/
ATOMIC_SPECIES
Pm 145.00 Pm.upf
Sm 150.36 Sm.upf
Y 88.91 Y.upf
ATOMIC_POSITIONS crystal
Pm 0.000 0.000 0.000
Sm 0.106 0.538 0.229
Sm 0.229 0.106 0.538
Sm 0.462 0.771 0.894
Sm 0.538 0.229 0.106
Sm 0.771 0.894 0.462
Sm 0.894 0.462 0.771
Y 0.111 0.718 0.747
Y 0.253 0.889 0.282
Y 0.282 0.253 0.889
Y 0.423 0.423 0.423
Y 0.577 0.577 0.577
Y 0.718 0.747 0.111
Y 0.747 0.111 0.718
Y 0.889 0.282 0.253
CELL_PARAMETERS angstrom
4.567 2.637 6.967
-4.567 2.637 6.967
0.000 -5.273 6.967
! magnetization = 0.000 μB/cell
! density of states at the Fermi level = 22.9 states/eV per cell
! formation enthalpy at 0 K = 123.8 meV per atom
! E_tot = -82.921 eV/cell

---

! Pm2Sm2Y7, optimized geometry, DFT PBE; values from VASP
&SYSTEM
  ibrav = 0, nat = 11, ntyp = 3
/
ATOMIC_SPECIES
Pm 145.00 Pm.upf
Sm 150.36 Sm.upf
Y 88.91 Y.upf
ATOMIC_POSITIONS crystal
Pm 0.214 0.786 0.000
Pm 0.786 0.214 0.000
Sm 0.232 0.232 0.086
Sm 0.768 0.768 0.914
Y 0.000 0.000 0.500
Y 0.065 0.589 0.325
Y 0.409 0.409 0.696
Y 0.411 0.935 0.675
Y 0.589 0.065 0.325
Y 0.591 0.591 0.304
Y 0.935 0.411 0.675
CELL_PARAMETERS angstrom
5.645 -5.837 0.000
5.645 5.837 0.000
-2.412 0.000 5.611
! magnetization = 0.000 μB/cell
! density of states at the Fermi level = 18.4 states/eV per cell
! formation enthalpy at 0 K = 153.6 meV per atom
! E_tot = -62.498 eV/cell

---

! Pm7Sm3Y, optimized geometry, DFT PBE; values from VASP
&SYSTEM
  ibrav = 0, nat = 11, ntyp = 3
/
ATOMIC_SPECIES
Pm 145.00 Pm.upf
Sm 150.36 Sm.upf
Y 88.91 Y.upf
ATOMIC_POSITIONS crystal
Pm 0.000 0.000 0.000
Pm 0.097 0.302 0.796
Pm 0.292 0.792 0.500
Pm 0.494 0.698 0.796
Pm 0.506 0.302 0.204
Pm 0.708 0.208 0.500
Pm 0.903 0.698 0.204
Sm 0.292 0.000 0.292
Sm 0.500 0.500 0.000
Sm 0.708 0.000 0.708
Y 0.000 0.500 0.500
CELL_PARAMETERS angstrom
-2.974 5.673 5.713
2.974 -5.673 5.713
2.974 5.673 -5.713
! magnetization = 0.144 μB/cell
! density of states at the Fermi level = 16.6 states/eV per cell
! formation enthalpy at 0 K = 233.4 meV per atom
! E_tot = -51.309 eV/cell